(1)
Entry from Alexandria via LeMat-Bulk: a geometry-optimized Sn2OsBr structure (PBE).

Cell lengths 4.9996, 4.9996, 4.9996 Å; angles 60.00, 60.00, 60.00 degrees
Fractional coordinates of all 4 atoms:
Sn (0.2500, 0.2500, 0.2500)
Sn (0.7500, 0.7500, 0.7500)
Os (0.0000, 0.0000, 0.0000)
Br (0.5000, 0.5000, 0.5000)

Results
**Energy above the lowest structure with this stoichiometry**: 0.361 eV/atom

***

(2)
Entry from Alexandria via LeMat-Bulk: a geometry-optimized SnOs2Br structure (PBE).

Cell lengths 7.1287, 7.1287, 7.1287 Å; angles 132.86, 132.86, 68.88 degrees
Fractional coordinates of all 8 atoms:
Sn (0.0000, 0.0000, 0.0000)
Sn (0.7500, 0.2500, 0.5000)
Os (0.1627, 0.6250, 0.0377)
Os (0.3750, 0.4127, 0.5377)
Os (0.5873, 0.1250, 0.9623)
Os (0.8750, 0.8373, 0.4623)
Br (0.2500, 0.7500, 0.5000)
Br (0.5000, 0.5000, 0.0000)

Results
**Energy above the lowest structure with this stoichiometry**: 0.286 eV/atom

***

(3)
Entry from Alexandria via LeMat-Bulk: a geometry-optimized SnOs2Br structure (PBE).

Cell lengths 4.5965, 4.5965, 4.5965 Å; angles 60.00, 60.00, 60.00 degrees
Fractional coordinates of all 4 atoms:
Sn (0.0000, 0.0000, 0.0000)
Os (0.2500, 0.2500, 0.2500)
Os (0.7500, 0.7500, 0.7500)
Br (0.5000, 0.5000, 0.5000)

Results
**Energy above the lowest structure with this stoichiometry**: 0.000 eV/atom

***

(4)
Entry from Alexandria via LeMat-Bulk: a geometry-optimized Sn3OsBr structure (PBE).

Cell lengths 5.1661, 5.1661, 5.1661 Å; angles 90.00, 90.00, 90.00 degrees
Fractional coordinates of all 5 atoms:
Sn (0.0000, 0.0000, 0.5000)
Sn (0.0000, 0.5000, 0.0000)
Sn (0.5000, 0.0000, 0.0000)
Os (0.0000, 0.0000, 0.0000)
Br (0.5000, 0.5000, 0.5000)

Results
**Energy above the lowest structure with this stoichiometry**: 0.000 eV/atom

***

(5)
Entry from Alexandria via LeMat-Bulk: a geometry-optimized Sn3OsBr structure (PBE).

Cell lengths 5.4139, 5.4139, 5.4139 Å; angles 90.00, 90.00, 90.00 degrees
Fractional coordinates of all 5 atoms:
Sn (0.0000, 0.0000, 0.5000)
Sn (0.0000, 0.5000, 0.0000)
Sn (0.5000, 0.0000, 0.0000)
Os (0.5000, 0.5000, 0.5000)
Br (0.0000, 0.0000, 0.0000)

Results
**Energy above the lowest structure with this stoichiometry**: 1.693 eV/atom

***

(6)
Entry from Alexandria via LeMat-Bulk: a geometry-optimized TiSn2OsBr structure (PBE).

Cell lengths 5.5358, 5.5358, 4.4790 Å; angles 90.00, 90.00, 90.00 degrees
Fractional coordinates of all 5 atoms:
Ti (0.0000, 0.0000, 0.0000)
Sn (0.0000, 0.5000, 0.0000)
Sn (0.5000, 0.0000, 0.0000)
Os (0.0000, 0.0000, 0.5000)
Br (0.5000, 0.5000, 0.5000)

***

(7)
Entry from Alexandria via LeMat-Bulk: a geometry-optimized SrOsBr3 structure (PBE).

Cell lengths 5.9092, 5.9092, 5.9092 Å; angles 90.00, 90.00, 90.00 degrees
Fractional coordinates of all 5 atoms:
Sr (0.0000, 0.0000, 0.0000)
Os (0.5000, 0.5000, 0.5000)
Br (0.0000, 0.0000, 0.5000)
Br (0.0000, 0.5000, 0.0000)
Br (0.5000, 0.0000, 0.0000)

Results
**Energy above the lowest structure with this stoichiometry**: 0.516 eV/atom

***

(8)
Entry from Alexandria via LeMat-Bulk: a geometry-optimized SrOsBr2 structure (PBE).

Cell lengths 5.7130, 5.7130, 5.0443 Å; angles 115.67, 115.67, 103.35 degrees
Fractional coordinates of all 4 atoms:
Sr (0.0000, 0.0000, 0.0000)
Os (0.5000, 0.5000, 0.0000)
Br (0.0000, 0.5000, 0.5000)
Br (0.5000, 0.0000, 0.5000)

Results
**Energy above the lowest structure with this stoichiometry**: 0.431 eV/atom

***

(9)
Entry from Alexandria via LeMat-Bulk: a geometry-optimized SrOsBr structure (PBE).

Cell lengths 4.3310, 4.3310, 4.4906 Å; angles 90.00, 90.00, 120.00 degrees
Fractional coordinates of all 3 atoms:
Sr (0.0000, 0.0000, 0.0000)
Os (0.6667, 0.3333, 0.5000)
Br (0.3333, 0.6667, 0.5000)

Results
**Energy above the lowest structure with this stoichiometry**: 0.000 eV/atom

***

(10)
Entry from Alexandria via LeMat-Bulk: a geometry-optimized SrOs4Br structure (PBE).

Cell lengths 5.4125, 5.4125, 5.4125 Å; angles 60.00, 60.00, 60.00 degrees
Fractional coordinates of all 6 atoms:
Sr (0.0000, 0.0000, 0.0000)
Os (0.3751, 0.3751, 0.3751)
Os (0.3751, 0.3751, 0.8746)
Os (0.3751, 0.8746, 0.3751)
Os (0.8746, 0.3751, 0.3751)
Br (0.7500, 0.7500, 0.7500)

***

(11)
Entry from Alexandria via LeMat-Bulk: a geometry-optimized SrOsBr structure (PBE).

Cell lengths 6.9667, 6.9667, 6.9667 Å; angles 152.30, 152.30, 39.58 degrees
Fractional coordinates of all 3 atoms:
Sr (0.0000, 0.0000, 0.0000)
Os (0.3331, 0.3331, 0.0000)
Br (0.6620, 0.6620, 0.0000)

Results
**Energy above the lowest structure with this stoichiometry**: 0.166 eV/atom

***

(12)
Entry from Alexandria via LeMat-Bulk: a geometry-optimized SrOsBr2 structure (PBE).

Cell lengths 7.5166, 7.5166, 4.8499 Å; angles 93.84, 93.84, 31.58 degrees
Fractional coordinates of all 4 atoms:
Sr (0.0000, 0.0000, 0.0000)
Os (0.5000, 0.5000, 0.5000)
Br (0.3492, 0.3492, 0.2535)
Br (0.6508, 0.6508, 0.7465)

Results
**Energy above the lowest structure with this stoichiometry**: 0.068 eV/atom

***

no.,size of the total moment (μB/cell),volume (A^3/atom),raw formation energy (kJ per mole of atoms)
1,1.11,22.09,80
2,0.00,23.89,145
3,0.00,17.17,117
4,0.00,27.57,-2
5,2.85,31.74,161
6,0.00,27.45,75
7,5.00,41.27,25
8,2.00,28.65,20
9,0.00,24.32,44
10,2.35,18.69,102
11,1.85,24.31,60
12,2.00,35.78,-15